(1)
RbTiPPd2 | GGA-PBE | optimized geometry

N(E_F): 8.2 states/eV/cell
Crystal system: tetragonal
SG: P4/mmm
ρ: 4.59 Mg/m³
E: -15.6 eV/cell
Formation energy from the elements: 175.67 kJ per mole of atoms

Cell and atoms, written as POSCAR:
```
RbTiPPd2
1.0
-4.153 1.735 1.792
-2.670 -1.193 -5.032
-1.133 -4.412 1.647
P Rb Pd Ti
1 1 2 1
direct
0.000 0.500 0.000 P
0.000 0.000 0.000 Rb
0.500 0.000 0.000 Pd
0.000 0.000 0.500 Pd
0.500 0.500 0.500 Ti
```


(2)
Na5Tl2Bi3 | GGA-PBE | optimized geometry

N(E_F): 6.4 states/eV/cell
Crystal system: monoclinic
SG: C2/c
ρ: 6.13 Mg/m³
E: -50.2 eV/cell
Formation energy from the elements: -20.55 kJ per mole of atoms

Cell and atoms, written as POSCAR:
```
Na5Tl2Bi3
1.0
6.602 0.344 -0.372
-0.721 9.559 -2.336
0.471 -0.141 9.854
Tl Na Bi
4 10 6
direct
0.604 0.863 0.375 Tl
0.104 0.375 0.863 Tl
0.396 0.137 0.625 Tl
0.896 0.625 0.137 Tl
0.980 0.715 0.814 Na
0.250 0.460 0.540 Na
0.480 0.814 0.715 Na
0.520 0.186 0.285 Na
0.572 0.282 0.971 Na
0.750 0.540 0.460 Na
0.020 0.285 0.186 Na
0.072 0.971 0.282 Na
0.428 0.718 0.029 Na
0.928 0.029 0.718 Na
0.116 0.755 0.470 Bi
0.384 0.530 0.245 Bi
0.884 0.245 0.530 Bi
0.750 0.978 0.022 Bi
0.616 0.470 0.755 Bi
0.250 0.022 0.978 Bi
```


(3)
KLaY2 | GGA-PBE | optimized geometry

N(E_F): 6.3 states/eV/cell
Crystal system: cubic
SG: F-43m
ρ: 3.88 Mg/m³
E: -17.0 eV/cell
Formation energy from the elements: 48.15 kJ per mole of atoms

Cell and atoms, written as POSCAR:
```
KLaY2
1.0
-0.236 0.508 -5.967
4.185 -2.619 -3.398
-1.413 -4.758 -3.359
Y K La
2 1 1
direct
0.000 0.000 0.000 Y
0.250 0.250 0.250 Y
0.500 0.500 0.500 K
0.750 0.750 0.750 La
```